Entry 1:
GGA-PBE Ir4Pt, optimized geometry; energy relative to the elements = 18 kJ/mol of formula units; calculated total energy = -41.3 eV per cell; volume = 14.74 Å³ per atom
1.0
2.7049 0.0000 -0.5165
-0.1990 3.7325 -1.0421
-0.0086 0.0197 7.2964
Ir Pt
4 1
Cartesian
1.5082 2.2530 0.5573 Ir
0.5003 0.7583 2.6203 Ir
1.9971 2.9939 3.1175 Ir
0.9892 1.4992 5.1806 Ir
0.0000 0.0000 0.0000 Pt

Entry 2:
GGA-PBE Tl2BPt, optimized geometry; energy relative to the elements = 345 kJ/mol of formula units; calculated total energy = -27.7 eV per cell; volume = 20.41 Å³ per atom
1.0
6.9727 0.0000 0.0000
0.0000 6.9727 0.0000
3.4864 3.4864 3.3589
Tl B Pt
4 2 2
Cartesian
4.9440 1.7432 0.8397 Tl
2.0287 5.2295 0.8397 Tl
5.2295 5.5151 2.5192 Tl
8.7159 8.4304 2.5192 Tl
3.4864 3.4864 0.0000 B
3.4864 6.9727 1.6795 B
0.0000 0.0000 0.0000 Pt
6.9727 3.4864 1.6795 Pt

Entry 3:
GGA-PBE KSi3Hg, optimized geometry; formation energy from raw total energies = 1977 meV per atom; calculated total energy = -7.8 eV per cell; volume = 34.68 Å³ per atom
1.0
5.5763 0.0000 0.0000
0.0000 5.5763 0.0000
0.0000 0.0000 5.5763
K Si Hg
1 3 1
Cartesian
0.0000 0.0000 0.0000 K
0.0000 2.7881 0.0000 Si
0.0000 0.0000 2.7881 Si
2.7881 0.0000 0.0000 Si
2.7881 2.7881 2.7881 Hg

Entry 4:
GGA-PBE Er2ZrRh, optimized geometry; energy relative to the elements = -151 kJ/mol of formula units; calculated total energy = -26.6 eV per cell; volume = 23.14 Å³ per atom
1.0
-3.3643 0.5281 -0.4531
-0.6923 -2.3128 2.4442
0.1613 5.6724 5.4132
Rh Zr Er
1 1 2
Cartesian
-2.0283 -0.8924 0.9955 Rh
-1.9476 1.9438 3.7021 Zr
0.1276 4.4878 4.2827 Er
0.0337 1.1846 1.1305 Er

Entry 5:
GGA-PBE Ag12Se5Cl3, optimized geometry; formation energy from raw total energies = -59 meV per atom; calculated total energy = -233.5 eV per cell; volume = 24.44 Å³ per atom
1.0
13.6447 0.0000 0.0000
-4.5482 12.8644 0.0000
-4.5482 -6.4322 11.1409
Cl Se Ag
12 20 48
Cartesian
7.9594 4.0201 1.3926 Cl
7.9594 8.8443 1.3926 Cl
-1.1371 5.6282 6.9631 Cl
1.1371 -0.8040 4.1778 Cl
10.2336 0.0000 2.7852 Cl
1.1371 6.4322 2.7852 Cl
3.4112 0.0000 8.3557 Cl
-5.6853 6.4322 8.3557 Cl
3.4112 7.2362 6.9631 Cl
5.6853 0.8040 4.1778 Cl
-3.4112 -2.4121 9.7483 Cl
-3.4112 2.4121 9.7483 Cl
-1.1371 3.2161 2.7852 Se
-2.2741 6.4322 0.0000 Se
0.0000 0.0000 0.0000 Se
3.4112 2.4121 1.3926 Se
4.5482 -3.2161 5.5704 Se
4.5482 6.4322 0.0000 Se
-3.4112 7.2362 4.1778 Se
5.6853 -4.0201 9.7483 Se
5.6853 5.6282 4.1778 Se
1.1371 -3.2161 8.3557 Se
3.4112 9.6483 2.7852 Se
2.2741 3.2161 5.5704 Se
6.8224 0.0000 0.0000 Se
-2.2741 -3.2161 5.5704 Se
-1.1371 0.8040 6.9631 Se
-1.1371 10.4523 1.3926 Se
-4.5482 3.2161 5.5704 Se
7.9594 -0.8040 6.9631 Se
1.1371 4.0201 9.7483 Se
5.6853 3.2161 8.3557 Se
9.1980 1.0921 0.5311 Ag
-0.1015 4.2221 4.8902 Ag
9.9696 3.2726 3.0499 Ag
5.9493 2.2111 1.2113 Ag
2.0364 4.9779 7.5599 Ag
9.6303 6.0691 1.9895 Ag
-0.8731 7.4937 4.2612 Ag
-3.6752 10.6533 1.2113 Ag
0.2378 7.8865 7.5599 Ag
6.2886 6.7953 1.9895 Ag
6.7208 3.3022 4.3591 Ag
6.7208 11.7723 0.5311 Ag
-4.3105 5.8199 6.1015 Ag
2.8079 4.8908 1.3092 Ag
-4.4467 9.5622 4.3591 Ag
2.1726 -2.2101 6.2507 Ag
-0.2378 0.8420 2.5205 Ag
2.8079 8.3367 0.6803 Ag
5.9493 9.5918 3.0499 Ag
-0.5338 4.5277 0.6803 Ag
-2.5119 7.2742 8.6204 Ag
3.1472 5.3707 4.2612 Ag
6.5846 7.0445 6.1015 Ag
5.0820 -1.5414 9.8317 Ag
1.4010 1.0615 6.8796 Ag
-2.0364 -0.6123 5.0394 Ag
-0.5338 7.9735 1.3092 Ag
-1.4010 -3.1596 8.0910 Ag
7.0601 -0.8420 2.5205 Ag
5.0820 1.9045 10.4606 Ag
1.7403 -1.9045 10.4606 Ag
2.3757 8.6423 4.8902 Ag
4.7860 5.5902 8.6204 Ag
8.9950 -3.1300 6.7818 Ag
8.8587 0.6123 5.0394 Ag
-2.1726 -5.3401 10.6098 Ag
1.7403 1.5414 9.8317 Ag
4.3105 -1.4543 3.5810 Ag
-1.7403 -0.3631 9.1514 Ag
-2.1726 3.1300 6.7818 Ag
8.2234 -4.2211 9.9296 Ag
5.4213 -1.0615 6.8796 Ag
-1.4010 4.2211 9.9296 Ag
-5.0820 0.3631 9.1514 Ag
2.5119 1.4543 3.5810 Ag
-5.4213 3.1596 8.0910 Ag
4.6498 2.2101 6.2507 Ag
-4.6498 5.3401 10.6098 Ag

Entry 6:
GGA-PBE BaAsOs2, optimized geometry; energy relative to the elements = 1 kJ/mol of formula units; calculated total energy = -29.0 eV per cell; volume = 23.72 Å³ per atom
1.0
4.3152 0.0016 0.0044
2.1569 3.7374 0.0044
2.1518 1.2432 5.8875
As Os Ba
1 2 1
Cartesian
4.3129 2.4917 2.1728 As
6.4717 3.7388 1.0337 Os
2.1569 1.2461 1.2007 Os
6.4663 3.7357 4.4461 Ba

Entry 7:
GGA-PBE Cs3SrTe, optimized geometry; formation energy from raw total energies = 330 meV per atom; calculated total energy = -5.7 eV per cell; volume = 86.70 Å³ per atom
1.0
7.5682 0.0000 0.0000
0.0000 7.5682 0.0000
0.0000 0.0000 7.5682
Cs Sr Te
3 1 1
Cartesian
0.0000 3.7841 0.0000 Cs
0.0000 0.0000 3.7841 Cs
3.7841 0.0000 0.0000 Cs
0.0000 0.0000 0.0000 Sr
3.7841 3.7841 3.7841 Te

Entry 8:
GGA-PBE KCo3, optimized geometry; energy relative to the elements = 315 kJ/mol of formula units; calculated total energy = -19.2 eV per cell; volume = 14.77 Å³ per atom
1.0
2.6868 0.0000 0.0000
-1.3434 2.3268 0.0000
0.0000 0.0000 9.4481
Co K
3 1
Cartesian
0.0000 0.0000 0.4789 Co
0.0000 0.0000 4.2451 Co
1.3434 0.7756 2.3620 Co
1.3434 0.7756 7.0860 K

Result set for D(E_F): 5.5; 2.5; 6.2; 5.2; 11.9; 1.7; 9.1; 5.7 states/eV/f.u., one per record in the order listed.
Result set for total magnetization: 0.00; 0.00; 0.00; 0.00; 0.00; 0.00; 1.00; 4.72 μB/cell, one per record in the order listed.